No. 1
TaTi4Tc | PBE | relaxed

## Properties
ΔE to the lowest computed polymorph: 652 meV per atom
crystal system: monoclinic
final energy: -102.1 eV per cell
ΔH_f (0 K): 0.46 eV per atom

Lattice parameters (Å, degrees): 7.590 4.224 7.624 90.00 109.52 90.00
Space group C2/m (No. 12)
Inequivalent atoms, fractional coordinates:
Ta 0.000 0.000 0.000 (multiplicity 2)
Ti 0.125 0.500 0.860 (multiplicity 4)
Ti 0.127 0.000 0.382 (multiplicity 4)
Tc 0.000 0.500 0.500 (multiplicity 2)

=====

No. 2
TaTi2Tc | PBE | relaxed

## Properties
ΔE to the lowest computed polymorph: 577 meV per atom
crystal system: tetragonal
final energy: -147.0 eV per cell
ΔH_f (0 K): 0.31 eV per atom

Lattice parameters (Å, degrees): 7.136 7.136 5.446 90.00 90.00 90.00
Space group I-42d (No. 122)
Inequivalent atoms, fractional coordinates:
Ta 0.000 0.000 0.000 (multiplicity 4)
Ti 0.219 0.250 0.625 (multiplicity 8)
Tc 0.000 0.000 0.500 (multiplicity 4)

=====

No. 3
TaTi2Tc | PBE | relaxed

## Properties
ΔE to the lowest computed polymorph: 152 meV per atom
crystal system: cubic
final energy: -153.8 eV per cell
ΔH_f (0 K): -0.11 eV per atom

Lattice parameters (Å, degrees): 6.365 6.365 6.365 90.00 90.00 90.00
Space group Fm-3m (No. 225)
Inequivalent atoms, fractional coordinates:
Ta 0.000 0.000 0.000 (multiplicity 4)
Ti 0.250 0.250 0.250 (multiplicity 8)
Tc 0.000 0.000 0.500 (multiplicity 4)

=====

No. 4
TaTi4Tc5 | PBE | relaxed

## Properties
crystal system: tetragonal
final energy: -100.2 eV per cell
ΔH_f (0 K): -0.50 eV per atom

Lattice parameters (Å, degrees): 3.126 3.126 15.590 90.00 90.00 90.00
Space group P4/mmm (No. 123)
Inequivalent atoms, fractional coordinates:
Ta 0.000 0.000 0.000 (multiplicity 1)
Ti 0.000 0.000 0.203 (multiplicity 2)
Ti 0.000 0.000 0.401 (multiplicity 2)
Tc 0.500 0.500 0.102 (multiplicity 2)
Tc 0.500 0.500 0.302 (multiplicity 2)
Tc 0.500 0.500 0.500 (multiplicity 1)

=====

No. 5
Ta2TiTc | PBE | relaxed

## Properties
ΔE to the lowest computed polymorph: 59 meV per atom
crystal system: cubic
final energy: -171.1 eV per cell
ΔH_f (0 K): -0.20 eV per atom

Lattice parameters (Å, degrees): 6.431 6.431 6.431 90.00 90.00 90.00
Space group Fm-3m (No. 225)
Inequivalent atoms, fractional coordinates:
Ta 0.250 0.250 0.250 (multiplicity 8)
Ti 0.000 0.000 0.000 (multiplicity 4)
Tc 0.000 0.000 0.500 (multiplicity 4)

=====

No. 6
TaTi5Tc4 | PBE | relaxed

## Properties
crystal system: tetragonal
final energy: -96.7 eV per cell
ΔH_f (0 K): -0.39 eV per atom

Lattice parameters (Å, degrees): 3.108 3.108 16.057 90.00 90.00 90.00
Space group P4/mmm (No. 123)
Inequivalent atoms, fractional coordinates:
Ta 0.000 0.000 0.000 (multiplicity 1)
Ti 0.500 0.500 0.118 (multiplicity 2)
Ti 0.500 0.500 0.307 (multiplicity 2)
Ti 0.500 0.500 0.500 (multiplicity 1)
Tc 0.000 0.000 0.208 (multiplicity 2)
Tc 0.000 0.000 0.403 (multiplicity 2)

=====

No. 7
TaTi2Tc | PBE | relaxed

## Properties
ΔE to the lowest computed polymorph: 34 meV per atom
crystal system: tetragonal
final energy: -38.9 eV per cell
ΔH_f (0 K): -0.23 eV per atom

Lattice parameters (Å, degrees): 3.097 3.097 6.812 90.00 90.00 90.00
Space group P4/mmm (No. 123)
Inequivalent atoms, fractional coordinates:
Ta 0.000 0.000 0.000 (multiplicity 1)
Ti 0.500 0.500 0.280 (multiplicity 2)
Tc 0.000 0.000 0.500 (multiplicity 1)

=====

No. 8
TaTi2Tc3 | PBE | relaxed

## Properties
crystal system: tetragonal
final energy: -61.8 eV per cell
ΔH_f (0 K): -0.50 eV per atom

Lattice parameters (Å, degrees): 3.136 3.136 9.399 90.00 90.00 90.00
Space group P4/mmm (No. 123)
Inequivalent atoms, fractional coordinates:
Ta 0.000 0.000 0.000 (multiplicity 1)
Ti 0.000 0.000 0.337 (multiplicity 2)
Tc 0.500 0.500 0.170 (multiplicity 2)
Tc 0.500 0.500 0.500 (multiplicity 1)

=====

No. 9
TaTiTc | PBE | relaxed

## Properties
ΔE to the lowest computed polymorph: 339 meV per atom
crystal system: hexagonal
final energy: -60.4 eV per cell
ΔH_f (0 K): -0.03 eV per atom

Lattice parameters (Å, degrees): 4.7418 4.7418 5.1183 90.00 90.00 120.00
Space group P6_3/mmc (No. 194)
Inequivalent atoms, fractional coordinates:
Ta 0.3333 0.6667 0.2500 (multiplicity 2)
Ti 0.0000 0.0000 0.0000 (multiplicity 2)
Tc 0.3333 0.6667 0.7500 (multiplicity 2)

=====

No. 10
Ta2TiTc | PBE | relaxed

## Properties
ΔE to the lowest computed polymorph: 57 meV per atom
crystal system: tetragonal
final energy: -42.8 eV per cell
ΔH_f (0 K): -0.20 eV per atom

Lattice parameters (Å, degrees): 4.567 4.567 3.191 90.00 90.00 90.00
Space group P4/mmm (No. 123)
Inequivalent atoms, fractional coordinates:
Ta 0.000 0.500 0.000 (multiplicity 2)
Ti 0.000 0.000 0.500 (multiplicity 1)
Tc 0.500 0.500 0.500 (multiplicity 1)

=====

No. 11
Ta5TiTc4 | PBE | relaxed

## Properties
crystal system: tetragonal
final energy: -112.7 eV per cell
ΔH_f (0 K): -0.41 eV per atom

Lattice parameters (Å, degrees): 3.185 3.185 16.191 90.00 90.00 90.00
Space group P4/mmm (No. 123)
Inequivalent atoms, fractional coordinates:
Ta 0.000 0.000 0.000 (multiplicity 1)
Ta 0.000 0.000 0.197 (multiplicity 2)
Ta 0.000 0.000 0.392 (multiplicity 2)
Ti 0.500 0.500 0.500 (multiplicity 1)
Tc 0.500 0.500 0.098 (multiplicity 2)
Tc 0.500 0.500 0.296 (multiplicity 2)

=====

No. 12
TaTiTc | PBE | relaxed

## Properties
ΔE to the lowest computed polymorph: 86 meV per atom
crystal system: trigonal
final energy: -31.0 eV per cell
ΔH_f (0 K): -0.29 eV per atom

Lattice parameters (Å, degrees): 4.3974 4.3974 2.9193 90.00 90.00 120.00
Space group P3m1 (No. 156)
Inequivalent atoms, fractional coordinates:
Ta 0.0000 0.0000 0.0000 (multiplicity 1)
Ti 0.6667 0.3333 0.3960 (multiplicity 1)
Tc 0.3333 0.6667 0.7005 (multiplicity 1)